(1)
A plane-wave DFT calculation with PBE was carried out for a relaxed ZnReAs2 crystal.

Unit cell a=5.7497 b=5.7497 c=6.8747 alpha=65.28 beta=65.28 gamma=90.00
Closest atoms and distances in Å follow each position.
Positions (direct):
Zn (0.5000, 0.5000, 0.0000)  4 As 2.53
As (0.3750, 0.3553, 0.7500)  2 Re 2.40, 2 Zn 2.53
Zn (0.2500, 0.7500, 0.5000)  4 As 2.53
Re (0.7500, 0.2500, 0.5000)  4 As 2.40
Re (0.0000, 0.0000, 0.0000)  4 As 2.40
As (0.1053, 0.6250, 0.2500)  2 Re 2.40, 2 Zn 2.53
As (0.8750, 0.8947, 0.7500)  2 Re 2.40, 2 Zn 2.53
As (0.6447, 0.1250, 0.2500)  2 Re 2.40, 2 Zn 2.53

## Properties
M_tot in μB per cell: 0.0
Calculated formation energy in eV per formula unit: 1.44

(2)
A plane-wave DFT calculation with PBE was carried out for a relaxed La2TiAgN crystal.

Unit cell a=5.3265 b=5.3265 c=4.0176 alpha=90.00 beta=90.00 gamma=90.00
Closest atoms and distances in Å follow each position.
Positions (direct):
Ag (0.5000, 0.5000, 0.5000)  8 La 3.34
La (0.5000, 0.0000, 0.0000)  2 N 2.66
N (0.0000, 0.0000, 0.0000)  2 Ti 2.01
La (0.0000, 0.5000, 0.0000)  2 N 2.66
Ti (0.0000, 0.0000, 0.5000)  2 N 2.01

## Properties
Formation energy (no corrections) in eV/atom: -0.66
M_tot in μB per cell: 1.4

(3)
A plane-wave DFT calculation with PBE was carried out for a relaxed Ta2FePt crystal.

Unit cell a=2.8610 b=2.8610 c=7.5104 alpha=90.00 beta=90.00 gamma=89.98
Closest atoms and distances in Å follow each position.
Positions (direct):
Ta (0.0000, 0.0000, 0.0261)  4 Fe 2.63, 4 Ta 2.86, 4 Pt 2.90
Pt (0.5000, 0.5000, 0.7500)  4 Pt 2.86, 8 Ta 2.90
Fe (0.5000, 0.5000, 0.2500)  8 Ta 2.63, 4 Fe 2.86
Ta (0.0000, 0.0000, 0.4739)  4 Fe 2.63, 4 Ta 2.86, 4 Pt 2.90

## Properties
M_tot in μB per cell: 0.0
Calculated formation energy in eV per formula unit: -1.45

(4)
A plane-wave DFT calculation with PBE was carried out for a relaxed Dy3Er6PuTh2 crystal.

Unit cell a=6.0854 b=6.0854 c=11.6277 alpha=95.00 beta=95.00 gamma=120.00
Closest atoms and distances in Å follow each position.
Positions (direct):
Dy (0.8334, 0.1666, 0.5000)  6 Dy 3.51, 6 Er 3.54-3.55
Pu (0.0000, 0.0000, 0.0000)  6 Er 3.47, 6 Th 3.51
Er (0.2499, 0.2499, 0.7535)  1 Pu 3.47, 2 Th 3.48, 6 Er 3.50-3.52, 3 Dy 3.54-3.55
Er (0.0820, 0.4138, 0.2465)  1 Pu 3.47, 2 Th 3.48, 6 Er 3.50-3.52, 3 Dy 3.54-3.55
Th (0.3333, 0.6667, 0.0000)  6 Er 3.48, 3 Pu 3.51, 3 Th 3.51
Er (0.5862, 0.9180, 0.7535)  1 Pu 3.47, 2 Th 3.48, 6 Er 3.50-3.52, 3 Dy 3.54-3.55
Dy (0.1666, 0.8334, 0.5000)  6 Dy 3.51, 6 Er 3.54-3.55
Th (0.6667, 0.3333, 0.0000)  6 Er 3.48, 3 Pu 3.51, 3 Th 3.51
Er (0.9180, 0.5862, 0.7535)  1 Pu 3.47, 2 Th 3.48, 6 Er 3.50-3.52, 3 Dy 3.54-3.55
Er (0.7501, 0.7501, 0.2465)  1 Pu 3.47, 2 Th 3.48, 6 Er 3.50-3.52, 3 Dy 3.54-3.55
Er (0.4138, 0.0820, 0.2465)  1 Pu 3.47, 2 Th 3.48, 6 Er 3.50-3.52, 3 Dy 3.54-3.55
Dy (0.5000, 0.5000, 0.5000)  6 Dy 3.51, 6 Er 3.54-3.55

## Properties
M_tot in μB per cell: 5.9
Calculated formation energy in eV per formula unit: 0.38

(5)
A plane-wave DFT calculation with PBE was carried out for a relaxed DyThSc2 crystal.

Unit cell a=3.5030 b=5.7377 c=5.7377 alpha=105.01 beta=90.00 gamma=90.00
Closest atoms and distances in Å follow each position.
Positions (direct):
Sc (0.0000, 0.0000, 0.5000)  4 Th 3.36, 4 Dy 3.36, 4 Sc 3.49-3.50
Th (0.5000, 0.0000, 0.0000)  8 Sc 3.36, 2 Dy 3.49, 2 Th 3.50
Sc (0.0000, 0.5000, 0.0000)  4 Dy 3.36, 4 Th 3.36, 4 Sc 3.49-3.50
Dy (0.5000, 0.5000, 0.5000)  8 Sc 3.36, 2 Th 3.49, 2 Dy 3.50

## Properties
M_tot in μB per cell: 0.0
Calculated formation energy in eV per formula unit: 0.07

(6)
A plane-wave DFT calculation with PBE was carried out for a relaxed Gd2TmAl crystal.

Unit cell a=5.3441 b=5.3441 c=5.3441 alpha=60.00 beta=60.00 gamma=60.00
Closest atoms and distances in Å follow each position.
Positions (direct):
Gd (0.2500, 0.2500, 0.2500)  4 Tm 3.27, 4 Al 3.27
Gd (0.7500, 0.7500, 0.7500)  4 Al 3.27, 4 Tm 3.27
Al (0.0000, 0.0000, 0.0000)  8 Gd 3.27
Tm (0.5000, 0.5000, 0.5000)  8 Gd 3.27

## Properties
M_tot in μB per cell: 15.3
Calculated formation energy in eV per formula unit: -0.37

(7)
A plane-wave DFT calculation with PBE was carried out for a relaxed Ba2YSc crystal.

Unit cell a=9.6481 b=9.6481 c=7.6733 alpha=51.05 beta=51.05 gamma=90.00
Closest atoms and distances in Å follow each position.
Positions (direct):
Ba (0.8750, 0.8584, 0.7500)  2 Sc 3.41, 2 Ba 3.53, 2 Y 3.63
Ba (0.3750, 0.3916, 0.7500)  2 Sc 3.41, 2 Ba 3.53, 2 Y 3.63
Ba (0.1416, 0.6250, 0.2500)  2 Sc 3.41, 2 Ba 3.53, 2 Y 3.63
Sc (0.5000, 0.5000, 0.0000)  4 Ba 3.41, 2 Y 3.51
Sc (0.2500, 0.7500, 0.5000)  4 Ba 3.41, 2 Y 3.51
Y (0.0000, 0.0000, 0.0000)  2 Sc 3.51, 4 Ba 3.63
Y (0.7500, 0.2500, 0.5000)  2 Sc 3.51, 4 Ba 3.63
Ba (0.6084, 0.1250, 0.2500)  2 Sc 3.41, 2 Ba 3.53, 2 Y 3.63

## Properties
M_tot in μB per cell: 1.8
Calculated formation energy in eV per formula unit: 2.45

(8)
A plane-wave DFT calculation with PBE was carried out for a relaxed SrSiAsH2 crystal.

Unit cell a=4.0279 b=6.7856 c=4.0279 alpha=90.00 beta=90.00 gamma=90.00
Closest atoms and distances in Å follow each position.
Positions (direct):
H (0.5000, 0.0000, 0.0000)  2 Sr 2.01
H (0.0000, 0.0000, 0.5000)  2 Sr 2.01
Si (0.0000, 0.5000, 0.0000)  4 As 2.85
As (0.5000, 0.5000, 0.5000)  4 Si 2.85
Sr (0.0000, 0.0000, 0.0000)  4 H 2.01

## Properties
M_tot in μB per cell: 0.0
Total DFT energy (no corrections) in eV per cell: -15.75